No. 1
Material: LaYHoTm
Method: DFT, PBE-GGA
State: optimized geometry

For the total energy, the calculation gives -5.081 eV per atom.

The space group is R3m (No. 160, hexagonal axes) and the conventional cell measures 3.5931, 3.5931 and 34.9555 Å, with angles of 90.00, 90.00 and 120.00 degrees. The inequivalent atoms are La at (0.0000, 0.0000, 0.0000), Y at (0.0000, 0.0000, 0.5789), Ho at (0.0000, 0.0000, 0.7516) and Tm at (0.0000, 0.0000, 0.1645).

***

No. 2
Material: La2Y3Ho6Tm
Method: DFT, PBE-GGA
State: optimized geometry

For the total energy, the calculation gives -5.074 eV per atom.

The space group is C2/m (No. 12) and the conventional cell measures 6.1878, 10.7140 and 11.8236 Å, with angles of 90.00, 100.02 and 90.00 degrees. The inequivalent atoms are La at (0.0000, 0.1664, 0.0000), Y at (0.0000, 0.0000, 0.5000), Y at (0.0000, 0.3337, 0.5000), Ho at (0.2469, 0.5000, 0.7470), Ho at (0.2494, 0.1659, 0.7473) and Tm at (0.0000, 0.5000, 0.0000).

***

No. 3
Material: La5Y2HoTm
Method: DFT, PBE-GGA
State: optimized geometry

For the total energy, the calculation gives -4.864 eV per atom.

The space group is I4/mcm (No. 140) and the conventional cell measures 8.6597, 8.6597 and 17.1001 Å, with angles of 90.00, 90.00 and 90.00 degrees. The inequivalent atoms are La at (0.0000, 0.0000, 0.0000), La at (0.2174, 0.2826, 0.1449), Y at (0.1231, 0.3769, 0.5000), Ho at (0.0000, 0.0000, 0.2500) and Tm at (0.0000, 0.5000, 0.2500).

***

| no. | formation energy (eV/atom) |
| --- | --- |
| 1 | 0.03 |
| 2 | 0.02 |
| 3 | 0.32 |